Below is crystalline AcPrCo3 at its relaxed geometry, with properties calculated at the PBE-GGA level.

Lattice parameters (Å, degrees): 4.4193 23.8724 4.0410 90.00 90.00 90.00
Closest atoms and distances in Å follow each position.
Space group Cmcm (No. 63)
Unique sites:
Ac: 0.0000 0.0719 0.2500 [4 per cell]  12 Co 3.18-3.23
Pr: 0.0000 0.2067 0.7500 [4 per cell]  7 Co 2.99-3.14
Co: 0.0000 0.3325 0.7500 [4 per cell]  2 Co 2.29
Co: 0.0000 0.3776 0.2500 [4 per cell]  3 Co 2.29-2.35
Co: 0.0000 0.4760 0.2500 [4 per cell]  3 Co 2.32-2.35

DOS(E_F)   19.903 states/eV per cell

Below is crystalline AcPr2Co2 at its relaxed geometry, with properties calculated at the PBE-GGA level.

Lattice parameters (Å, degrees): 12.2348 3.9922 5.6228 90.00 100.66 90.00
Closest atoms and distances in Å follow each position.
Space group C2/m (No. 12)
Unique sites:
Ac: 0.0000 0.0000 0.0000 [2 per cell]  6 Co 3.36-3.46
Pr: 0.1443 0.5000 0.5645 [4 per cell]  4 Co 2.91-3.12
Co: 0.2348 0.5000 0.0800 [4 per cell]  2 Co 2.25

ΔE to the lowest computed polymorph   28 kJ/mol of formula units
DOS(E_F)   13.095 states/eV per cell

Sequential formation enthalpy at 0 K output: -0.013 0.056 eV/atom
Sequential DFT total energy output: -6.055 -5.519 eV/atom